# Cs2HoPbF6

A relaxed structure of Cs2HoPbF6 (PBE, Alexandria).

Values from the calculation:
**Theoretical density**: 5.3 g/cm³
**Formation energy from raw total energies**: -2.9736 eV per atom
**VASP energy**: -101.91 eV/cell

CIF file:
```
data_Cs2HoPbF6
_chemical_formula_sum 'Cs4 Ho2 Pb2 F12'
_space_group_name_H-M_alt 'P m m n'
_space_group_IT_number 59
_cell_length_a 6.5001
_cell_length_b 9.2862
_cell_length_c 7.7584
_cell_angle_alpha 90.00
_cell_angle_beta 90.00
_cell_angle_gamma 90.00
loop_
_space_group_symop_operation_xyz
'x,y,z'
'-x,-y,-z'
'-x+1/2,-y+1/2,z'
'x+1/2,y+1/2,-z'
'x+1/2,-y,-z'
'-x+1/2,y,z'
'-x,y+1/2,-z'
'x,-y+1/2,z'
loop_
_atom_site_label
_atom_site_type_symbol
_atom_site_fract_x
_atom_site_fract_y
_atom_site_fract_z
Cs1 Cs 0.2500 0.0041 0.2039
Ho1 Ho 0.2500 0.7500 0.7654
Pb1 Pb 0.2500 0.2500 0.7088
F1 F 0.0077 0.2500 0.4122
F2 F 0.0175 0.7500 0.9691
F3 F 0.2500 0.5135 0.7767
```